# 1
First-principles (meta-GGA SCAN) data for Be2IrCl at its PBEsol-relaxed geometry, as listed in the Alexandria database.

a b c (Å): 5.9117 5.9117 5.9117
angles (deg): 149.52 149.52 43.65
Closest atoms and distances in Å follow each position.
Fractional coordinates of all 4 atoms:
1 Be 0.0000 0.0000 0.0000  4 Cl 2.20
2 Be 0.7500 0.2500 0.5000  4 Ir 2.20
3 Ir 0.2500 0.7500 0.5000  4 Be 2.20
4 Cl 0.5000 0.5000 0.0000  4 Be 2.20

Output
* polymorph energy (0 for the lowest one): 602 meV/atom
* raw formation energy: 27.33 kJ/mol of atoms
* total moment: 0.0 Bohr magnetons per cell
* DOS at the Fermi energy: 0.29 states/eV/cell
* raw total energy: -86.7 eV/f.u.



# 2
First-principles (meta-GGA SCAN) data for BIrPd at its PBEsol-relaxed geometry, as listed in the Alexandria database.

a b c (Å): 6.0484 5.4798 6.6853
angles (deg): 58.63 50.68 70.69
Closest atoms and distances in Å follow each position.
Fractional coordinates of all 12 atoms:
1 B 0.2094 0.7906 0.3250  4 Ir 2.10-2.16, 2 Pd 2.23-2.33
2 B 0.5750 0.9250 0.4594  4 Ir 2.10-2.16, 2 Pd 2.23-2.33
3 B 0.7906 0.2094 0.6750  4 Ir 2.10-2.16, 2 Pd 2.23-2.33
4 B 0.9250 0.5750 0.0406  4 Ir 2.10-2.16, 2 Pd 2.23-2.33
5 Ir 0.1388 0.9059 0.6257  4 B 2.10-2.16
6 Ir 0.6243 0.9204 0.1112  4 B 2.10-2.16
7 Ir 0.9059 0.1388 0.3296  4 B 2.10-2.16
8 Ir 0.9204 0.6243 0.3441  4 B 2.10-2.16
9 Pd 0.3855 0.9850 0.8457  3 B 2.23-2.41
10 Pd 0.4043 0.4662 0.8645  3 B 2.23-2.41
11 Pd 0.4662 0.4043 0.2650  3 B 2.23-2.41
12 Pd 0.9850 0.3855 0.7838  3 B 2.23-2.41

Output
* total moment: 0.0 Bohr magnetons per cell
* DOS at the Fermi energy: 4.76 states/eV/cell
* raw total energy: -112.3 eV/f.u.
* energy of formation: -0.326 eV per atom



# 3
First-principles (meta-GGA SCAN) data for AlMoAs2 at its PBEsol-relaxed geometry, as listed in the Alexandria database.

a b c (Å): 3.2152 3.2365 6.1943
angles (deg): 90.00 98.05 90.00
Closest atoms and distances in Å follow each position.
Fractional coordinates of all 4 atoms:
1 Al 0.0000 0.0000 0.0000  4 As 2.61
2 Mo 0.0000 0.0000 0.5000  8 As 2.67-2.69
3 As 0.4434 0.5000 0.2706  2 Al 2.61, 4 Mo 2.67-2.69, 1 As 2.81
4 As 0.5566 0.5000 0.7294  2 Al 2.61, 4 Mo 2.67-2.69, 1 As 2.81

Output
* total moment: 0.0 Bohr magnetons per cell
* DOS at the Fermi energy: 1.84 states/eV/cell
* raw total energy: -83.2 eV/f.u.
* energy of formation: -0.040 eV per atom



# 4
First-principles (meta-GGA SCAN) data for CrInNi2 at its PBEsol-relaxed geometry, as listed in the Alexandria database.

a b c (Å): 8.2146 8.2146 8.2146
angles (deg): 19.45 19.45 19.45
Closest atoms and distances in Å follow each position.
Fractional coordinates of all 4 atoms:
1 Cr 0.0000 0.0000 0.0000  6 Ni 2.43
2 In 0.5000 0.5000 0.5000  6 Ni 2.72, 6 In 2.77
3 Ni 0.2577 0.2577 0.2577  3 Cr 2.43
4 Ni 0.7423 0.7423 0.7423  3 Cr 2.43

Output
* total moment: 3.4 Bohr magnetons per cell
* DOS at the Fermi energy: 3.71 states/eV/cell
* raw total energy: -82.8 eV/f.u.
* energy of formation: 0.325 eV per atom



# 5
First-principles (meta-GGA SCAN) data for BaYFe at its PBEsol-relaxed geometry, as listed in the Alexandria database.

a b c (Å): 4.9224 4.9224 4.9224
angles (deg): 60.00 60.00 60.00
Closest atoms and distances in Å follow each position.
Fractional coordinates of all 3 atoms:
1 Ba 0.0000 0.0000 0.0000  4 Y 3.01
2 Y 0.2500 0.2500 0.2500  4 Fe 3.01, 4 Ba 3.01
3 Fe 0.5000 0.5000 0.5000  4 Y 3.01

Output
* total moment: 1.5 Bohr magnetons per cell
* DOS at the Fermi energy: 2.02 states/eV/cell
* raw total energy: -82.3 eV/f.u.
* energy of formation: 1.072 eV per atom



# 6
First-principles (meta-GGA SCAN) data for ReAs2Ru at its PBEsol-relaxed geometry, as listed in the Alexandria database.

a b c (Å): 5.3629 5.3629 5.3629
angles (deg): 147.42 134.10 57.41
Closest atoms and distances in Å follow each position.
Fractional coordinates of all 4 atoms:
1 Re 0.0000 0.0000 0.0000  6 As 2.58-2.64
2 As 0.4950 0.4950 0.0000  2 Ru 2.56, 4 Re 2.58
3 As 0.7698 0.2698 0.5000  4 Ru 2.58, 2 Re 2.64
4 Ru 0.2741 0.7741 0.5000  6 As 2.56-2.58

Output
* polymorph energy (0 for the lowest one): 146 meV/atom
* total moment: 0.0 Bohr magnetons per cell
* DOS at the Fermi energy: 3.60 states/eV/cell
* raw total energy: -145.1 eV/f.u.
* energy of formation: 0.299 eV per atom



# 7
First-principles (meta-GGA SCAN) data for LaYS3 at its PBEsol-relaxed geometry, as listed in the Alexandria database.

a b c (Å): 10.9482 3.9770 21.4818
angles (deg): 90.00 101.66 90.00
Closest atoms and distances in Å follow each position.
Fractional coordinates of all 40 atoms:
1 La 0.0917 0.2500 0.3648  7 S 2.84-3.05
2 La 0.2010 0.2500 0.0372  8 S 2.89-3.12
3 La 0.3025 0.7500 0.7338  7 S 2.88-3.02
4 La 0.3084 0.2500 0.2340  8 S 2.90-2.97
5 La 0.6916 0.7500 0.7660  8 S 2.90-2.97
6 La 0.6975 0.2500 0.2662  7 S 2.88-3.02
7 La 0.7990 0.7500 0.9628  8 S 2.89-3.12
8 La 0.9083 0.7500 0.6352  7 S 2.84-3.05
9 Y 0.0293 0.2500 0.8511  6 S 2.64-2.80
10 Y 0.1789 0.2500 0.5470  7 S 2.70-2.92
11 Y 0.4467 0.2500 0.9167  6 S 2.61-2.79
12 Y 0.4772 0.7500 0.4122  7 S 2.72-2.92
13 Y 0.5228 0.2500 0.5878  7 S 2.72-2.92
14 Y 0.5533 0.7500 0.0833  6 S 2.61-2.79
15 Y 0.8211 0.7500 0.4530  7 S 2.70-2.92
16 Y 0.9707 0.7500 0.1489  6 S 2.64-2.80
17 S 0.0369 0.2500 0.2298  2 Y 2.64, 2 La 2.84-2.96
18 S 0.0580 0.7500 0.9445  2 Y 2.80, 3 La 2.94-3.02
19 S 0.0857 0.7500 0.4635  3 Y 2.73-2.86, 2 La 2.92
20 S 0.1239 0.2500 0.6641  1 Y 2.70, 2 La 2.97
21 S 0.2077 0.7500 0.1354  1 Y 2.67, 4 La 2.89-2.95
22 S 0.2508 0.7500 0.3264  1 Y 2.77, 4 La 2.87-2.97
23 S 0.2539 0.2500 0.8228  2 Y 2.61-2.65, 2 La 2.88
24 S 0.3431 0.7500 0.5991  4 Y 2.76-2.84, 1 La 3.02
25 S 0.3543 0.7500 0.9855  3 Y 2.70-2.79, 2 La 2.96
26 S 0.3610 0.2500 0.4644  4 Y 2.72-2.92
27 S 0.4539 0.2500 0.1352  2 Y 2.62, 1 La 2.90
28 S 0.4940 0.2500 0.7201  1 Y 2.92, 4 La 2.95-2.96, 1 S 3.15
29 S 0.5060 0.7500 0.2799  1 Y 2.92, 4 La 2.95-2.96, 1 S 3.15
30 S 0.5461 0.7500 0.8648  2 Y 2.62, 1 La 2.90
31 S 0.6390 0.7500 0.5356  4 Y 2.72-2.92
32 S 0.6457 0.2500 0.0145  3 Y 2.70-2.79, 2 La 2.96
33 S 0.6569 0.2500 0.4009  4 Y 2.76-2.84, 1 La 3.02
34 S 0.7461 0.7500 0.1772  2 Y 2.61-2.65, 2 La 2.88
35 S 0.7492 0.2500 0.6736  1 Y 2.77, 4 La 2.87-2.97
36 S 0.7923 0.2500 0.8646  1 Y 2.67, 4 La 2.89-2.95
37 S 0.8761 0.7500 0.3359  1 Y 2.70, 2 La 2.97
38 S 0.9143 0.2500 0.5365  3 Y 2.73-2.86, 2 La 2.92
39 S 0.9420 0.2500 0.0555  2 Y 2.80, 3 La 2.94-3.02
40 S 0.9631 0.7500 0.7702  2 Y 2.64, 2 La 2.84-2.96

Output
* raw formation energy: -238.86 kJ/mol of atoms
* total moment: 0.0 Bohr magnetons per cell
* raw total energy: -112.2 eV/f.u.



# 8
First-principles (meta-GGA SCAN) data for RbCrI3 at its PBEsol-relaxed geometry, as listed in the Alexandria database.

a b c (Å): 5.6025 5.6025 5.6025
angles (deg): 90.00 90.00 90.00
Closest atoms and distances in Å follow each position.
Fractional coordinates of all 5 atoms:
1 Rb 0.0000 0.0000 0.0000  12 I 3.96
2 Cr 0.5000 0.5000 0.5000  6 I 2.80
3 I 0.0000 0.5000 0.5000  2 Cr 2.80
4 I 0.5000 0.0000 0.5000  2 Cr 2.80
5 I 0.5000 0.5000 0.0000  2 Cr 2.80

Output
* raw formation energy: -94.68 kJ/mol of atoms
* total moment: 4.0 Bohr magnetons per cell
* DOS at the Fermi energy: 0.77 states/eV/cell
* raw total energy: -154.3 eV/f.u.



# 9
First-principles (meta-GGA SCAN) data for Te5Ru at its PBEsol-relaxed geometry, as listed in the Alexandria database.

a b c (Å): 7.3601 7.3601 5.8125
angles (deg): 90.00 90.00 148.37
Closest atoms and distances in Å follow each position.
Fractional coordinates of all 6 atoms:
1 Te 0.0000 0.0000 0.0000  2 Ru 2.91, 4 Te 3.10
2 Te 0.3334 0.6666 0.0000  6 Te 2.98-3.10
3 Te 0.3797 0.6203 0.5000  2 Ru 2.63
4 Te 0.6203 0.3797 0.5000  2 Ru 2.63
5 Te 0.6666 0.3334 0.0000  6 Te 2.98-3.10
6 Ru 0.0000 0.0000 0.5000  6 Te 2.63-2.91

Output
* raw formation energy: 1.33 kJ/mol of atoms
* total moment: 0.3 Bohr magnetons per cell
* DOS at the Fermi energy: 3.19 states/eV/cell
* raw total energy: -221.0 eV/f.u.



# 10
First-principles (meta-GGA SCAN) data for BaPdF4 at its PBEsol-relaxed geometry, as listed in the Alexandria database.

a b c (Å): 6.9376 6.9376 6.9376
angles (deg): 127.19 127.19 77.94
Closest atoms and distances in Å follow each position.
Fractional coordinates of all 12 atoms:
1 Ba 0.2500 0.2500 0.0000  8 F 2.66
2 Ba 0.7500 0.7500 0.0000  8 F 2.66
3 Pd 0.0000 0.5000 0.5000  4 F 1.97
4 Pd 0.5000 0.0000 0.5000  4 F 1.97
5 F 0.0325 0.5325 0.8214  1 Pd 1.97
6 F 0.2111 0.0325 0.5000  1 Pd 1.97
7 F 0.2889 0.7889 0.8214  1 Pd 1.97
8 F 0.4675 0.2889 0.5000  1 Pd 1.97
9 F 0.5325 0.7111 0.5000  1 Pd 1.97
10 F 0.7111 0.2111 0.1786  1 Pd 1.97
11 F 0.7889 0.9675 0.5000  1 Pd 1.97
12 F 0.9675 0.4675 0.1786  1 Pd 1.97

Output
* raw formation energy: -267.13 kJ/mol of atoms
* total moment: 0.1 Bohr magnetons per cell
* DOS at the Fermi energy: 0.00 states/eV/cell
* raw total energy: -103.1 eV/f.u.



# 11
First-principles (meta-GGA SCAN) data for FeNiO2 at its PBEsol-relaxed geometry, as listed in the Alexandria database.

a b c (Å): 5.9494 5.9494 5.9494
angles (deg): 26.44 26.44 26.44
Closest atoms and distances in Å follow each position.
Fractional coordinates of all 4 atoms:
1 Fe 0.0000 0.0000 0.0000  6 O 1.90
2 Ni 0.5000 0.5000 0.5000  2 O 1.81
3 O 0.3951 0.3951 0.3951  1 Ni 1.81, 3 Fe 1.90
4 O 0.6049 0.6049 0.6049  1 Ni 1.81, 3 Fe 1.90

Output
* polymorph energy (0 for the lowest one): 0 meV/atom
* raw formation energy: -110.43 kJ/mol of atoms
* total moment: 0.4 Bohr magnetons per cell
* DOS at the Fermi energy: 3.53 states/eV/cell
* raw total energy: -51.3 eV/f.u.